Entry 1:
Density functional theory data (PBE) for a relaxed GdHoPbN crystal.

abc: 3.5564 3.5564 15.6872
angles: 90.00 90.00 120.00
Fractional positions:
Gd 0.6667 0.3333 0.5846
Gd 0.3333 0.6667 0.4154
Ho 0.6667 0.3333 0.9179
Pb 0.3333 0.6667 0.7529
Pb 0.6667 0.3333 0.2471
N 0.0000 0.0000 0.0000
N 0.0000 0.0000 0.5000
Ho 0.3333 0.6667 0.0821

uncorrected energy = -51.2 eV per cell
symmetry = P-3m1, No. 164

---

Entry 2:
Density functional theory data (PBE) for a relaxed NdBeTe crystal.

abc: 5.0134 5.0134 5.0134
angles: 60.00 60.00 60.00
Fractional positions:
Nd 0.7500 0.7500 0.7500
Be 0.2500 0.2500 0.2500
Te 0.0000 0.0000 0.0000

uncorrected energy = -11.0 eV per cell
symmetry = F-43m, No. 216

---

Entry 3:
Density functional theory data (PBE) for a relaxed Mg17NpAl11 crystal.

abc: 9.1687 9.2602 9.1337
angles: 109.73 109.32 109.72
Site moments in Bohr magnetons follow the coordinates.
Fractional positions:
Mg 0.4002 0.7156 0.3991  0.00
Al 0.1794 0.3653 0.3667  0.00
Al 0.0083 0.6322 0.8038  0.00
Mg 0.6839 0.6837 0.2886  0.00
Al 0.8177 0.1866 0.1850  0.00
Mg 0.5978 0.9995 0.3165  0.00
Mg 0.0049 0.5996 0.3264  0.00
Al 0.3689 0.1825 0.3673  0.00
Mg 0.3953 0.3950 0.7114  0.00
Al 0.0016 0.8151 0.6327  0.00
Mg 0.9984 0.0008 0.0000  0.00
Al 0.2045 0.8284 0.1962  0.00
Mg 0.2813 0.6830 0.6835  0.00
Np 0.8203 0.6359 0.0000  0.20
Mg 0.3201 0.6005 0.0000  0.00
Mg 0.9958 0.3485 0.0000  0.00
Mg 0.3164 0.0005 0.6013  0.00
Al 0.3646 0.3660 0.1823  0.00
Al 0.6326 0.0016 0.8150  0.00
Mg 0.6785 0.2731 0.6736  0.00
Al 0.8127 0.9986 0.6333  0.00
Mg 0.3487 0.9988 0.0000  0.00
Mg 0.7152 0.3992 0.3987  0.00
Al 0.6241 0.8282 0.0000  0.00
Mg 0.0011 0.3165 0.6009  0.00
Mg 0.6518 0.6539 0.6496  0.00
Mg 0.0022 0.0043 0.3504  0.00
Al 0.1824 0.1838 0.8177  0.00
Mg 0.5914 0.3031 0.0000  0.00

uncorrected energy = -77.3 eV per cell
symmetry = Cm, No. 8

---

Entry 4:
Density functional theory data (PBE) for a relaxed LiNiPtPb crystal.

abc: 4.4810 4.4810 4.4810
angles: 60.00 60.00 60.00
Fractional positions:
Ni 0.7500 0.7500 0.7500
Li 0.5000 0.5000 0.5000
Pt 0.2500 0.2500 0.2500
Pb 0.0000 0.0000 0.0000

uncorrected energy = -17.9 eV per cell
energy above the lowest structure with this stoichiometry = 0.040 eV/atom
symmetry = F-43m, No. 216

---

Entry 5:
Density functional theory data (PBE) for a relaxed DyHoNi2 crystal.

abc: 5.4000 4.1639 7.0246
angles: 90.00 90.01 90.00
Fractional positions:
Ni 0.6246 0.2500 0.0380
Ni 0.3754 0.7500 0.9620
Ni 0.1247 0.7500 0.4620
Dy 0.1301 0.2500 0.1798
Ho 0.3699 0.2500 0.6797
Ni 0.8753 0.2500 0.5380
Ho 0.6301 0.7500 0.3203
Dy 0.8699 0.7500 0.8202

uncorrected energy = -44.4 eV per cell
symmetry = P2_1/m, No. 11

---

Entry 6:
Density functional theory data (PBE) for a relaxed SrGaAsPd2 crystal.

abc: 4.3952 4.3952 10.5057
angles: 90.00 90.00 90.00
Fractional positions:
Ga 0.0000 0.0000 0.5000
As 0.0000 0.5000 0.1311
Sr 0.0000 0.5000 0.7569
Pd 0.0000 0.0000 0.0000
Pd 0.0000 0.5000 0.3724
As 0.5000 0.0000 0.8689
Sr 0.5000 0.0000 0.2431
Pd 0.5000 0.0000 0.6276
Ga 0.5000 0.5000 0.5000
Pd 0.5000 0.5000 0.0000

uncorrected energy = -47.1 eV per cell
energy above the lowest structure with this stoichiometry = 0.000 eV/atom
symmetry = P4/nmm, No. 129

---

Entry 7:
Density functional theory data (PBE) for a relaxed Ba2NbFeS6 crystal.

abc: 6.5086 6.5086 13.0181
angles: 90.00 90.00 120.00
Site moments in Bohr magnetons follow the coordinates.
Fractional positions:
Fe 0.0000 0.0000 0.2500  2.54
S 0.3283 0.1661 0.3681  0.02
S 0.1661 0.3283 0.8681  -0.01
S 0.3283 0.1622 0.1319  0.02
Ba 0.6667 0.3333 0.9255  0.01
Ba 0.3333 0.6667 0.4255  0.01
S 0.8378 0.1661 0.1319  -0.01
S 0.1622 0.8339 0.8681  -0.01
Nb 0.6667 0.3333 0.2500  -0.06
Ba 0.6667 0.3333 0.5745  0.01
S 0.1661 0.8378 0.6319  -0.01
S 0.8339 0.6717 0.1319  -0.01
S 0.1622 0.3283 0.6319  -0.01
Ba 0.3333 0.6667 0.0745  0.01
S 0.6717 0.8378 0.8681  0.02
S 0.8339 0.1622 0.3681  -0.01
S 0.6717 0.8339 0.6319  0.02
S 0.8378 0.6717 0.3681  -0.01
Fe 0.0000 0.0000 0.7500  2.54
Nb 0.3333 0.6667 0.7500  -0.06

uncorrected energy = -116.3 eV per cell
energy above the lowest structure with this stoichiometry = 0.039 eV/atom
symmetry = P-31c, No. 163

---

Entry 8:
Density functional theory data (PBE) for a relaxed SrLiGdS3 crystal.

abc: 8.7565 8.7565 8.3399
angles: 104.03 104.03 26.37
Fractional positions:
S 0.5000 0.5000 0.0000
S 0.6666 0.6666 0.3568
S 0.3255 0.3255 0.1837
Sr 0.8671 0.8671 0.9358
Sr 0.1329 0.1329 0.0642
S 0.6745 0.6745 0.8163
S 0.0000 0.0000 0.5000
Gd 0.8344 0.8344 0.4115
Li 0.5027 0.5027 0.7012
Li 0.4973 0.4973 0.2988
Gd 0.1656 0.1656 0.5885
S 0.3334 0.3334 0.6432

uncorrected energy = -64.6 eV per cell
energy above the lowest structure with this stoichiometry = 0.000 eV/atom
symmetry = C2/m, No. 12